VASP calculation (PBE) on Zr2ScOsPd after structural relaxation.

Lattice parameters (Å, degrees): 4.9961 4.9961 4.7216 90.00 90.00 90.00
With the nearest neighbours (Å) after each atom.
Fractional coordinates of all 5 atoms:
Zr 0.0000 0.5000 0.0000  2 Pd 2.50
Zr 0.5000 0.0000 0.0000  2 Pd 2.50
Sc 0.0000 0.0000 0.5000  2 Pd 2.36
Os 0.5000 0.5000 0.5000  8 Zr 3.44, 4 Sc 3.53
Pd 0.0000 0.0000 0.0000  2 Sc 2.36, 4 Zr 2.50

Calculated values
Raw total energy = -7.183 eV per atom
Space group = P4/mmm (123)
Energy of formation = 787 meV per atom

***

VASP calculation (PBE) on OsPdSe6 after structural relaxation.

Lattice parameters (Å, degrees): 6.0418 6.1149 6.2133 61.46 61.59 86.45
With the nearest neighbours (Å) after each atom.
Fractional coordinates of all 8 atoms:
Os 0.0000 0.0000 0.0000  6 Se 2.47-2.49
Pd 0.5000 0.5000 0.0000  6 Se 2.56-2.69
Se 0.1804 0.4329 0.8604  1 Se 2.44, 1 Os 2.49, 1 Pd 2.58
Se 0.2960 0.0721 0.5133  1 Os 2.49, 1 Se 2.52, 1 Pd 2.69
Se 0.3067 0.8177 0.1592  1 Os 2.47, 1 Se 2.52, 1 Pd 2.56
Se 0.6933 0.1823 0.8408  1 Os 2.47, 1 Se 2.52, 1 Pd 2.56
Se 0.7040 0.9279 0.4867  1 Os 2.49, 1 Se 2.52, 1 Pd 2.69
Se 0.8196 0.5671 0.1396  1 Se 2.44, 1 Os 2.49, 1 Pd 2.58

Calculated values
ΔE_f (raw) = -0.117 eV per atom
Raw total energy = -4.784 eV per atom
Space group = P-1 (2)

***

VASP calculation (PBE) on Os2PdSe after structural relaxation.

Lattice parameters (Å, degrees): 7.0783 7.0783 7.0783 135.83 135.83 64.24
With the nearest neighbours (Å) after each atom.
Fractional coordinates of all 8 atoms:
Os 0.1037 0.6250 0.9787  2 Se 2.34, 2 Pd 2.47
Os 0.3750 0.3537 0.4787  2 Se 2.34, 2 Pd 2.47
Os 0.6463 0.1250 0.0213  2 Se 2.34, 2 Pd 2.47
Os 0.8750 0.8963 0.5213  2 Se 2.34, 2 Pd 2.47
Pd 0.2500 0.7500 0.5000  4 Os 2.47
Pd 0.5000 0.5000 0.0000  4 Os 2.47
Se 0.0000 0.0000 0.0000  4 Os 2.34
Se 0.7500 0.2500 0.5000  4 Os 2.34

Calculated values
ΔE_f (raw) = 1.293 eV per atom
Raw total energy = -6.491 eV per atom
Space group = I-42d (122)

***

VASP calculation (PBE) on OsPd2Se after structural relaxation.

Lattice parameters (Å, degrees): 5.6856 5.6856 5.6856 101.79 101.79 126.26
With the nearest neighbours (Å) after each atom.
Fractional coordinates of all 8 atoms:
Os 0.0000 0.0000 0.0000  2 Se 2.57, 4 Pd 2.71
Os 0.7500 0.2500 0.5000  2 Se 2.57, 4 Pd 2.71
Pd 0.1442 0.6250 0.0192  2 Se 2.52, 2 Pd 2.58, 2 Os 2.71
Pd 0.3750 0.3942 0.5192  2 Se 2.52, 2 Pd 2.58, 2 Os 2.71
Pd 0.6058 0.1250 0.9808  2 Se 2.52, 2 Pd 2.58, 2 Os 2.71
Pd 0.8750 0.8558 0.4808  2 Se 2.52, 2 Pd 2.58, 2 Os 2.71
Se 0.2500 0.7500 0.5000  4 Pd 2.52, 2 Os 2.57
Se 0.5000 0.5000 0.0000  4 Pd 2.52, 2 Os 2.57

Calculated values
ΔE_f (raw) = 0.523 eV per atom
Raw total energy = -5.752 eV per atom
Space group = I-42d (122)